Entry from Alexandria via LeMat-Bulk: Cu2SiCI after structural relaxation (PBEsol).

Lattice parameters (Å, degrees): 4.794 4.794 4.190 90.00 90.00 90.00
Space group P4/mmm (No. 123)
Unique sites:
1 Cu 0.000 0.500 0.000 [2 per cell]
2 Si 0.000 0.000 0.500 [1 per cell]
3 C 0.500 0.500 0.500 [1 per cell]
4 I 0.500 0.500 0.000 [1 per cell]

Results
Energy relative to the elements, uncorrected ... 2.1468 eV/atom
E ... -3.02 eV/atom